Compound: LiTa3
Source: Alexandria via LeMat-Bulk
Functional: GGA-PBE
Structure: relaxed

Lattice parameters (Å, degrees): 5.1733 5.1733 5.1733 90.00 90.00 90.00
Space group Pm-3n (No. 223)
Asymmetric unit:
1 Li 0.0000 0.0000 0.0000 (multiplicity 2)
2 Ta 0.0000 0.2500 0.5000 (multiplicity 6)


Compound: LiTa3
Source: Alexandria via LeMat-Bulk
Functional: GGA-PBE
Structure: relaxed

Lattice parameters (Å, degrees): 9.6014 2.8608 5.1815 90.00 99.20 90.00
Space group C2/m (No. 12)
Asymmetric unit:
1 Li 0.0000 0.0000 0.0000 (multiplicity 2)
2 Ta 0.0000 0.5000 0.5000 (multiplicity 2)
3 Ta 0.2455 0.5000 0.2429 (multiplicity 4)


Compound: LiTa
Source: Alexandria via LeMat-Bulk
Functional: GGA-PBE
Structure: relaxed

Lattice parameters (Å, degrees): 11.1000 2.8358 6.7509 90.00 106.29 90.00
Space group Cm (No. 8)
Asymmetric unit:
1 Li 0.0000 0.0000 0.0000 (multiplicity 2)
2 Li 0.0435 0.0000 0.5496 (multiplicity 2)
3 Li 0.4027 0.0000 0.2324 (multiplicity 2)
4 Ta 0.2001 0.5000 0.3159 (multiplicity 2)
5 Ta 0.2049 0.5000 0.9072 (multiplicity 2)
6 Ta 0.3309 0.0000 0.6663 (multiplicity 2)


Compound: LiTa
Source: Alexandria via LeMat-Bulk
Functional: GGA-PBE
Structure: relaxed

Lattice parameters (Å, degrees): 9.6310 9.6310 2.8596 90.00 90.00 120.00
Space group P6_3/m (No. 176)
Asymmetric unit:
1 Li 0.1174 0.8161 0.2500 (multiplicity 6)
2 Ta 0.1401 0.5611 0.7500 (multiplicity 6)


Compound: LiTa
Source: Alexandria via LeMat-Bulk
Functional: GGA-PBE
Structure: relaxed

Lattice parameters (Å, degrees): 9.4226 9.4226 2.9150 90.00 90.00 90.00
Space group I4/mmm (No. 139)
Asymmetric unit:
1 Li 0.0000 0.3482 0.0000 (multiplicity 8)
2 Ta 0.1585 0.1585 0.5000 (multiplicity 8)


Compound: LiTa3
Source: Alexandria via LeMat-Bulk
Functional: GGA-PBE
Structure: relaxed

Lattice parameters (Å, degrees): 9.4656 9.4656 2.7099 90.00 90.00 120.00
Space group R-3m (No. 166, hexagonal axes)
Asymmetric unit:
1 Li 0.0000 0.0000 0.0000 (multiplicity 3)
2 Ta 0.0000 0.5000 0.0000 (multiplicity 9)


Compound: LiTa
Source: Alexandria via LeMat-Bulk
Functional: GGA-PBE
Structure: relaxed

Lattice parameters (Å, degrees): 2.8534 2.8534 10.3588 90.00 90.00 120.00
Space group P-3m1 (No. 164)
Asymmetric unit:
1 Li 0.3333 0.6667 0.1277 (multiplicity 2)
2 Ta 0.3333 0.6667 0.6245 (multiplicity 2)


Compound: LiTa
Source: Alexandria via LeMat-Bulk
Functional: GGA-PBE
Structure: relaxed

Lattice parameters (Å, degrees): 5.4201 5.4201 5.4201 90.00 90.00 90.00
Space group F-43m (No. 216)
Asymmetric unit:
1 Li 0.0000 0.0000 0.0000 (multiplicity 4)
2 Ta 0.2500 0.2500 0.7500 (multiplicity 4)


Compound: LiTa
Source: Alexandria via LeMat-Bulk
Functional: GGA-PBE
Structure: relaxed

Lattice parameters (Å, degrees): 3.9354 3.9354 8.2076 90.00 90.00 90.00
Space group I4_1/amd (No. 141, origin choice 2)
Asymmetric unit:
1 Li 0.0000 0.2500 0.3750 (multiplicity 4)
2 Ta 0.0000 0.2500 0.8750 (multiplicity 4)


Compound: LiTa
Source: Alexandria via LeMat-Bulk
Functional: GGA-PBE
Structure: relaxed

Lattice parameters (Å, degrees): 2.7963 2.7963 15.7365 90.00 90.00 120.00
Space group R-3m (No. 166, hexagonal axes)
Asymmetric unit:
1 Li 0.0000 0.0000 0.0000 (multiplicity 3)
2 Ta 0.0000 0.0000 0.5000 (multiplicity 3)


Compound: LiTa
Source: Alexandria via LeMat-Bulk
Functional: GGA-PBE
Structure: relaxed

Lattice parameters (Å, degrees): 4.9845 4.9845 5.1745 90.00 90.00 90.00
Space group P4_2/mnm (No. 136)
Asymmetric unit:
1 Li 0.1641 0.1641 0.0000 (multiplicity 4)
2 Ta 0.1754 0.1754 0.5000 (multiplicity 4)


Compound: LiTa
Source: Alexandria via LeMat-Bulk
Functional: GGA-PBE
Structure: relaxed

Lattice parameters (Å, degrees): 2.6045 4.5850 5.9860 90.00 102.27 90.00
Space group P2_1/m (No. 11)
Asymmetric unit:
1 Li 0.0521 0.2500 0.1166 (multiplicity 2)
2 Ta 0.3083 0.2500 0.6171 (multiplicity 2)


no.,ΔH_f (0 K) (meV per atom),energy above the lowest structure with this stoichiometry (meV/atom)
1,424,215.4
2,365,156.9
3,445,229.2
4,393,176.8
5,486,269.9
6,315,106.1
7,258,41.9
8,2789,2573.4
9,627,411.1
10,404,188.1
11,1082,866.3
12,399,183.4